[1]
A relaxed structure of LaP2Cl. Source: the Alexandria database, functional PBE.

Cell lengths 4.1436, 4.1436, 22.2952 Å; angles 90.00, 90.00, 120.00 degrees
Space group R3m (No. 160, hexagonal axes)
Unique sites:
La (0.0000, 0.0000, 0.0000) x3
P (0.0000, 0.0000, 0.4318) x3
P (0.0000, 0.0000, 0.7489) x3
Cl (0.0000, 0.0000, 0.2570) x3

- Energy relative to the elements, uncorrected: -1019 meV/atom
- Total moment: 0.00 μB per formula unit

=====

[2]
A relaxed structure of LaPCl2. Source: the Alexandria database, functional PBE.

Cell lengths 3.614, 4.045, 6.491 Å; angles 90.00, 90.00, 90.00 degrees
Space group Pmmm (No. 47)
Unique sites:
La (0.000, 0.000, 0.000) x1
P (0.000, 0.000, 0.500) x1
Cl (0.500, 0.500, 0.224) x2

- Energy relative to the elements, uncorrected: -837 meV/atom
- Total moment: 1.42 μB per formula unit

=====

[3]
A relaxed structure of La4P2Cl3. Source: the Alexandria database, functional PBE.

Cell lengths 7.311, 4.221, 17.237 Å; angles 90.00, 90.07, 90.00 degrees
Space group C2/m (No. 12)
Unique sites:
La (0.001, 0.000, 0.298) x4
La (0.166, 0.500, 0.888) x4
P (0.167, 0.500, 0.204) x4
Cl (0.000, 0.000, 0.000) x2
Cl (0.166, 0.500, 0.604) x4

- Energy relative to the elements, uncorrected: -1888 meV/atom
- Total moment: 0.00 μB per formula unit

=====

[4]
A relaxed structure of LaPCl2. Source: the Alexandria database, functional PBE.

Cell lengths 4.427, 4.368, 5.547 Å; angles 90.00, 95.77, 90.00 degrees
Space group Pm (No. 6)
Unique sites:
La (0.000, 0.000, 0.000) x1
P (0.475, 0.500, 0.930) x1
Cl (0.303, 0.500, 0.285) x1
Cl (0.833, 0.000, 0.503) x1

- Energy relative to the elements, uncorrected: -1391 meV/atom
- Total moment: 0.00 μB per formula unit

=====

[5]
A relaxed structure of La2PCl. Source: the Alexandria database, functional PBE.

Cell lengths 6.655, 6.655, 13.217 Å; angles 90.00, 90.00, 90.00 degrees
Space group I-42d (No. 122)
Unique sites:
La (0.228, 0.250, 0.125) x8
P (0.000, 0.000, 0.000) x4
Cl (0.000, 0.000, 0.500) x4

- Energy relative to the elements, uncorrected: -1187 meV/atom
- Total moment: 1.95 μB per formula unit

=====

[6]
A relaxed structure of LaPCl2. Source: the Alexandria database, functional PBE.

Cell lengths 4.540, 4.540, 19.330 Å; angles 90.00, 90.00, 90.00 degrees
Space group I-42d (No. 122)
Unique sites:
La (0.000, 0.000, 0.000) x4
P (0.000, 0.000, 0.500) x4
Cl (0.248, 0.250, 0.625) x8

- Energy relative to the elements, uncorrected: -1136 meV/atom
- Total moment: 0.00 μB per formula unit

=====

[7]
A relaxed structure of LaP2Cl. Source: the Alexandria database, functional PBE.

Cell lengths 3.797, 3.528, 8.152 Å; angles 90.00, 102.11, 90.00 degrees
Space group Pm (No. 6)
Unique sites:
La (0.000, 0.000, 0.000) x1
P (0.243, 0.000, 0.652) x1
P (0.406, 0.500, 0.813) x1
Cl (0.598, 0.500, 0.217) x1

- Energy relative to the elements, uncorrected: -1030 meV/atom
- Total moment: 0.00 μB per formula unit

=====

[8]
A relaxed structure of LaPCl2. Source: the Alexandria database, functional PBE.

Cell lengths 3.479, 3.479, 9.213 Å; angles 90.00, 90.00, 90.00 degrees
Space group P4/mmm (No. 123)
Unique sites:
La (0.000, 0.000, 0.000) x1
P (0.000, 0.000, 0.500) x1
Cl (0.500, 0.500, 0.177) x2

- Energy relative to the elements, uncorrected: -807 meV/atom
- Total moment: 1.10 μB per formula unit

=====

[9]
A relaxed structure of LaPCl. Source: the Alexandria database, functional PBE.

Cell lengths 4.4714, 4.4714, 6.4573 Å; angles 90.00, 90.00, 120.00 degrees
Space group P3m1 (No. 156)
Unique sites:
La (0.0000, 0.0000, 0.0000) x1
P (0.6667, 0.3333, 0.1930) x1
Cl (0.3333, 0.6667, 0.7598) x1

- Energy relative to the elements, uncorrected: -1107 meV/atom
- Total moment: 1.01 μB per formula unit

=====

[10]
A relaxed structure of LaPCl. Source: the Alexandria database, functional PBE.

Cell lengths 6.710, 6.710, 6.710 Å; angles 90.00, 90.00, 90.00 degrees
Space group F-43m (No. 216)
Unique sites:
La (0.000, 0.000, 0.000) x4
P (0.000, 0.000, 0.500) x4
Cl (0.250, 0.250, 0.750) x4

- Energy relative to the elements, uncorrected: -868 meV/atom
- Total moment: 0.60 μB per formula unit

=====

[11]
A relaxed structure of LaPCl2. Source: the Alexandria database, functional PBE.

Cell lengths 7.213, 7.213, 7.213 Å; angles 90.00, 90.00, 90.00 degrees
Space group F-43m (No. 216)
Unique sites:
La (0.000, 0.000, 0.000) x4
P (0.250, 0.250, 0.250) x4
Cl (0.000, 0.000, 0.500) x4
Cl (0.250, 0.250, 0.750) x4

- Energy relative to the elements, uncorrected: -914 meV/atom
- Total moment: 2.01 μB per formula unit

=====

[12]
A relaxed structure of LaPCl. Source: the Alexandria database, functional PBE.

Cell lengths 6.956, 6.956, 6.956 Å; angles 90.00, 90.00, 90.00 degrees
Space group F-43m (No. 216)
Unique sites:
La (0.000, 0.000, 0.000) x4
P (0.250, 0.250, 0.250) x4
Cl (0.250, 0.250, 0.750) x4

- Energy relative to the elements, uncorrected: -1189 meV/atom
- Total moment: 1.03 μB per formula unit

=====

[13]
A relaxed structure of LaP2Cl. Source: the Alexandria database, functional PBE.

Cell lengths 7.086, 7.086, 7.086 Å; angles 90.00, 90.00, 90.00 degrees
Space group Fm-3m (No. 225)
Unique sites:
La (0.000, 0.000, 0.000) x4
P (0.250, 0.250, 0.250) x8
Cl (0.000, 0.000, 0.500) x4

- Energy relative to the elements, uncorrected: -110 meV/atom
- Total moment: 0.00 μB per formula unit

=====

[14]
A relaxed structure of LaP2Cl. Source: the Alexandria database, functional PBE.

Cell lengths 3.446, 3.446, 8.020 Å; angles 90.00, 90.00, 90.00 degrees
Space group P4mm (No. 99)
Unique sites:
La (0.000, 0.000, 0.000) x1
P (0.000, 0.000, 0.350) x1
P (0.500, 0.500, 0.263) x1
Cl (0.500, 0.500, 0.793) x1

- Energy relative to the elements, uncorrected: -899 meV/atom
- Total moment: 0.00 μB per formula unit

=====

[15]
A relaxed structure of La2PCl. Source: the Alexandria database, functional PBE.

Cell lengths 4.1345, 4.1345, 22.3760 Å; angles 90.00, 90.00, 120.00 degrees
Space group R3m (No. 160, hexagonal axes)
Unique sites:
La (0.0000, 0.0000, 0.0000) x3
La (0.0000, 0.0000, 0.1905) x3
P (0.0000, 0.0000, 0.5962) x3
Cl (0.0000, 0.0000, 0.4272) x3

- Energy relative to the elements, uncorrected: -1676 meV/atom
- Total moment: 0.00 μB per formula unit

=====

[16]
A relaxed structure of La2PCl. Source: the Alexandria database, functional PBE.

Cell lengths 3.883, 3.998, 14.194 Å; angles 90.00, 90.00, 90.00 degrees
Space group Imm2 (No. 44)
Unique sites:
La (0.000, 0.000, 0.000) x2
La (0.000, 0.500, 0.231) x2
P (0.000, 0.000, 0.578) x2
Cl (0.000, 0.500, 0.824) x2

- Energy relative to the elements, uncorrected: -1453 meV/atom
- Total moment: 1.22 μB per formula unit

=====

[17]
A relaxed structure of LaP2Cl. Source: the Alexandria database, functional PBE.

Cell lengths 3.905, 3.905, 23.838 Å; angles 90.00, 90.00, 90.00 degrees
Space group I-42d (No. 122)
Unique sites:
La (0.000, 0.000, 0.000) x4
P (0.177, 0.250, 0.625) x8
Cl (0.000, 0.000, 0.500) x4

- Energy relative to the elements, uncorrected: -754 meV/atom
- Total moment: 0.00 μB per formula unit

=====

[18]
A relaxed structure of LaPCl. Source: the Alexandria database, functional PBE.

Cell lengths 4.974, 4.986, 14.024 Å; angles 90.00, 90.00, 90.00 degrees
Space group Fmm2 (No. 42)
Unique sites:
La (0.000, 0.000, 0.000) x4
P (0.000, 0.000, 0.377) x4
Cl (0.000, 0.000, 0.627) x4

- Energy relative to the elements, uncorrected: -1051 meV/atom
- Total moment: 0.11 μB per formula unit

=====

[19]
A relaxed structure of LaPCl2. Source: the Alexandria database, functional PBE.

Cell lengths 4.452, 4.452, 4.520 Å; angles 90.00, 90.00, 90.00 degrees
Space group P4/mmm (No. 123)
Unique sites:
La (0.000, 0.000, 0.000) x1
P (0.500, 0.500, 0.000) x1
Cl (0.000, 0.500, 0.500) x2

- Energy relative to the elements, uncorrected: -1083 meV/atom
- Total moment: 0.00 μB per formula unit

=====

[20]
A relaxed structure of La2PCl. Source: the Alexandria database, functional PBE.

Cell lengths 4.210, 4.210, 5.923 Å; angles 90.00, 90.00, 90.00 degrees
Space group P4/mmm (No. 123)
Unique sites:
La (0.000, 0.000, 0.000) x1
La (0.500, 0.500, 0.500) x1
P (0.000, 0.000, 0.500) x1
Cl (0.500, 0.500, 0.000) x1

- Energy relative to the elements, uncorrected: -1647 meV/atom
- Total moment: 0.00 μB per formula unit